w:
! GGA-PBE CsWN2, optimized geometry; values from VASP
! Space-group type ... R-3m, No. 166
! Size of the total moment ... 0.0 μB per cell
&SYSTEM
  ibrav = 0, nat = 4, ntyp = 3
/
ATOMIC_SPECIES
Cs 132.91 Cs.upf
W 183.84 W.upf
N 14.01 N.upf
ATOMIC_POSITIONS crystal
Cs 0.0000 0.0000 0.0000
W 0.5000 0.5000 0.5000
N 0.8758 0.8758 0.8758
N 0.1242 0.1242 0.1242
CELL_PARAMETERS angstrom
1.8700 0.0000 7.5821
-0.9350 1.6195 7.5821
-0.9350 -1.6195 7.5821



x:
! GGA-PBE CsWN2, optimized geometry; values from VASP
! Space-group type ... R-3m, No. 166
! Size of the total moment ... 1.8 μB per cell
&SYSTEM
  ibrav = 0, nat = 4, ntyp = 3
/
ATOMIC_SPECIES
Cs 132.91 Cs.upf
W 183.84 W.upf
N 14.01 N.upf
ATOMIC_POSITIONS crystal
Cs 0.5000 0.5000 0.5000
W 0.0000 0.0000 0.0000
N 0.9242 0.9242 0.9242
N 0.0758 0.0758 0.0758
CELL_PARAMETERS angstrom
-0.9634 -3.5085 7.5823
2.3111 -2.5800 7.6637
-0.1197 -0.3140 8.4034



Bottom line: w, by a margin of 1037 meV per atom.